# 1
! AlZnSb2, relaxed, DFT PBE; values from VASP
! symmetry = Cmmm (65)
! uncorrected energy = -3.1045 eV/atom
&SYSTEM
  ibrav = 0, nat = 4, ntyp = 3
/
ATOMIC_SPECIES
Al 26.98 Al.upf
Zn 65.41 Zn.upf
Sb 121.76 Sb.upf
ATOMIC_POSITIONS angstrom
Al 0.0000 0.0000 0.0000
Zn 0.0000 0.0000 3.7582
Sb 2.4297 0.0000 1.8593
Sb 2.4297 0.0000 5.6571
CELL_PARAMETERS angstrom
2.4297 -2.4582 0.0000
2.4297 2.4582 0.0000
0.0000 0.0000 7.5165


# 2
! La2MgSe2, relaxed, DFT PBE; values from VASP
! symmetry = I4/mmm (139)
! uncorrected energy = -4.7702 eV/atom
&SYSTEM
  ibrav = 0, nat = 5, ntyp = 3
/
ATOMIC_SPECIES
La 138.91 La.upf
Mg 24.30 Mg.upf
Se 78.96 Se.upf
ATOMIC_POSITIONS angstrom
La 0.0000 0.0000 1.9852
La 0.0000 0.0000 11.7725
Mg 0.0000 0.0000 6.8789
Se 2.5466 0.0000 3.4394
Se 0.0000 2.5466 3.4394
CELL_PARAMETERS angstrom
-2.5466 2.5466 6.8789
2.5466 -2.5466 6.8789
2.5466 2.5466 -6.8789


# 3
! Ac2Ga5Pt3, relaxed, DFT PBE; values from VASP
! symmetry = Ibam (72)
! uncorrected energy = -5.0448 eV/atom
&SYSTEM
  ibrav = 0, nat = 20, ntyp = 3
/
ATOMIC_SPECIES
Ac 227.00 Ac.upf
Ga 69.72 Ga.upf
Pt 195.08 Pt.upf
ATOMIC_POSITIONS angstrom
Ac 2.4558 1.6713 0.0000
Ac 2.4558 -1.6713 3.0641
Ac 2.8470 8.0699 0.0000
Ac 2.8470 4.7273 3.0641
Ga 5.3028 -2.8850 1.5320
Ga 6.8740 1.3712 0.0000
Ga 0.0000 0.0000 1.5320
Ga 1.5712 5.0274 0.0000
Ga 5.3028 2.8850 1.5320
Ga 0.0000 3.5136 1.5320
Ga 3.7316 1.3712 3.0641
Ga 0.0000 0.0000 4.5961
Ga -1.5712 5.0274 3.0641
Ga 0.0000 9.2836 1.5320
Pt 4.1172 -4.6403 3.0641
Pt 5.3028 0.0000 1.5320
Pt 4.1172 4.6403 0.0000
Pt 1.1856 1.7583 3.0641
Pt 0.0000 6.3986 1.5320
Pt 1.1856 11.0389 0.0000
CELL_PARAMETERS angstrom
-5.3028 6.3986 3.0641
5.3028 -6.3986 3.0641
5.3028 6.3986 -3.0641


# 4
! Pr6Sn2Te3Pb, relaxed, DFT PBE; values from VASP
! symmetry = C2/m (12)
! uncorrected energy = -5.2502 eV/atom
&SYSTEM
  ibrav = 0, nat = 12, ntyp = 4
/
ATOMIC_SPECIES
Pr 140.91 Pr.upf
Sn 118.71 Sn.upf
Te 127.60 Te.upf
Pb 207.20 Pb.upf
ATOMIC_POSITIONS angstrom
Pr -0.4990 0.0000 2.2045
Pr 5.6881 0.0000 3.7489
Pr 4.6780 0.0000 8.0899
Pr 13.0925 0.0000 0.7949
Pr 12.0824 0.0000 5.1360
Pr 18.2694 0.0000 6.6804
Sn 2.5981 0.0000 2.9613
Sn 15.1723 0.0000 5.9235
Te 1.5041 0.0000 7.4020
Te 8.8852 0.0000 4.4424
Te 16.2663 0.0000 1.4829
Pb 9.9747 0.0000 0.0000
CELL_PARAMETERS angstrom
9.9747 -2.2852 0.0000
9.9747 2.2852 0.0000
-2.1790 0.0000 8.8849


# 5
! TaVPt6, relaxed, DFT PBE; values from VASP
! symmetry = P4/mmm (123)
! uncorrected energy = -7.7000 eV/atom
&SYSTEM
  ibrav = 0, nat = 8, ntyp = 3
/
ATOMIC_SPECIES
Ta 180.95 Ta.upf
V 50.94 V.upf
Pt 195.08 Pt.upf
ATOMIC_POSITIONS angstrom
Ta 0.0000 0.0000 0.0000
V 0.0000 0.0000 3.9531
Pt 0.0000 1.9863 1.9685
Pt 0.0000 1.9863 5.9377
Pt 1.9863 0.0000 1.9685
Pt 1.9863 0.0000 5.9377
Pt 1.9863 1.9863 0.0000
Pt 1.9863 1.9863 3.9531
CELL_PARAMETERS angstrom
3.9727 0.0000 0.0000
0.0000 3.9727 0.0000
0.0000 0.0000 7.9063


# 6
! La6HgRh, relaxed, DFT PBE; values from VASP
! symmetry = C2/m (12)
! uncorrected energy = -4.8439 eV/atom
&SYSTEM
  ibrav = 0, nat = 8, ntyp = 3
/
ATOMIC_SPECIES
La 138.91 La.upf
Hg 200.59 Hg.upf
Rh 102.91 Rh.upf
ATOMIC_POSITIONS angstrom
La 0.8960 2.2258 1.5930
La -0.0868 0.0000 5.0388
La 0.8960 -2.2258 1.5930
La 4.2187 2.2258 4.8216
La 5.2015 0.0000 1.3758
La 4.2187 -2.2258 4.8216
Hg 2.5574 0.0000 3.2073
Rh 0.0000 0.0000 0.0000
CELL_PARAMETERS angstrom
3.7888 -5.7989 0.0000
3.7888 5.7989 0.0000
-2.4629 0.0000 6.4146


# 7
! Mn3CdPd4, relaxed, DFT PBE; values from VASP
! symmetry = I4/mmm (139)
! uncorrected energy = -6.3917 eV/atom
&SYSTEM
  ibrav = 0, nat = 8, ntyp = 3
/
ATOMIC_SPECIES
Mn 54.94 Mn.upf
Cd 112.41 Cd.upf
Pd 106.42 Pd.upf
ATOMIC_POSITIONS angstrom
Mn 0.0000 0.0000 0.0000
Mn 0.0000 0.0000 3.5352
Mn 0.0000 0.0000 10.6100
Cd 0.0000 0.0000 7.0726
Pd 2.1072 0.0000 1.8627
Pd 2.1072 0.0000 5.2099
Pd 0.0000 2.1072 1.8627
Pd 0.0000 2.1072 5.2099
CELL_PARAMETERS angstrom
-2.1072 2.1072 7.0726
2.1072 -2.1072 7.0726
2.1072 2.1072 -7.0726


# 8
! InAg2Pd5, relaxed, DFT PBE; values from VASP
! symmetry = I4/mcm (140)
! uncorrected energy = -4.3809 eV/atom
&SYSTEM
  ibrav = 0, nat = 16, ntyp = 3
/
ATOMIC_SPECIES
In 114.82 In.upf
Ag 107.87 Ag.upf
Pd 106.42 Pd.upf
ATOMIC_POSITIONS angstrom
In 0.0000 0.0000 2.7918
In 0.0000 0.0000 8.3754
Ag 4.5283 1.0166 0.0000
Ag 1.0166 2.4950 0.0000
Ag 2.4950 1.0166 5.5836
Ag -1.0166 2.4950 5.5836
Pd 0.0000 0.0000 0.0000
Pd 4.5561 -1.0444 1.8571
Pd 2.4672 -1.0444 3.7265
Pd 2.4672 1.0444 1.8571
Pd 4.5561 1.0444 3.7265
Pd 0.0000 0.0000 5.5836
Pd -1.0444 2.4672 1.8571
Pd 1.0444 2.4672 3.7265
Pd 1.0444 4.5561 1.8571
Pd -1.0444 4.5561 3.7265
CELL_PARAMETERS angstrom
-3.5117 3.5117 5.5836
3.5117 -3.5117 5.5836
3.5117 3.5117 -5.5836


- Number 4 is which compound?
  Pr6Sn2Te3Pb


- The highest uncorrected energy belongs to which entry?
  AlZnSb2